VASP calculation (PBE) on a geometry-optimized KVHg2 structure.

extended XYZ file:
```
4
Lattice="0.0000 3.7419 3.7419 3.7419 0.0000 3.7419 3.7419 3.7419 0.0000" Properties=species:S:1:pos:R:3 pbc="T T T"
K 0.0000 0.0000 0.0000
Hg 1.8710 1.8710 1.8710
Hg 5.6129 5.6129 5.6129
V 3.7419 3.7419 3.7419
```

Values from the calculation:
VASP energy	-2.24	eV/atom
E above lowest polymorph	0.000	eV/f.u.